Entry 1:
Computed, not measured: a relaxed structure of LaVHg2 at the GGA-PBE level of DFT.

Values from the calculation:
Crystal system: cubic
Formation energy (eV/atom): 0.004

The structure in CIF format:
```
data_LaVHg2
_chemical_formula_sum 'La4 V4 Hg8'
_symmetry_space_group_name_H-M 'F m -3 m'
_symmetry_Int_Tables_number 225
_symmetry_space_group_name_Hall '-F 4 2 3'
_cell_length_a 7.341
_cell_length_b 7.341
_cell_length_c 7.341
_cell_angle_alpha 90.00
_cell_angle_beta 90.00
_cell_angle_gamma 90.00
loop_
_atom_site_label
_atom_site_type_symbol
_atom_site_fract_x
_atom_site_fract_y
_atom_site_fract_z
La1 La 0.000 0.000 0.000
V1 V 0.000 0.000 0.500
Hg1 Hg 0.250 0.250 0.250
```

Entry 2:
Computed, not measured: a relaxed structure of La3VHg at the GGA-PBE level of DFT.

Values from the calculation:
Crystal system: cubic
Formation energy (eV/atom): 0.204

The structure in CIF format:
```
data_La3VHg
_chemical_formula_sum 'La3 V1 Hg1'
_symmetry_space_group_name_H-M 'P m -3 m'
_symmetry_Int_Tables_number 221
_symmetry_space_group_name_Hall '-P 4 2 3'
_cell_length_a 5.399
_cell_length_b 5.399
_cell_length_c 5.399
_cell_angle_alpha 90.00
_cell_angle_beta 90.00
_cell_angle_gamma 90.00
loop_
_atom_site_label
_atom_site_type_symbol
_atom_site_fract_x
_atom_site_fract_y
_atom_site_fract_z
La1 La 0.000 0.000 0.500
V1 V 0.000 0.000 0.000
Hg1 Hg 0.500 0.500 0.500
```

Entry 3:
Computed, not measured: a relaxed structure of La2VHg at the GGA-PBE level of DFT.

Values from the calculation:
Crystal system: tetragonal
Formation energy (eV/atom): 0.323

The structure in CIF format:
```
data_La2VHg
_chemical_formula_sum 'La8 V4 Hg4'
_symmetry_space_group_name_H-M 'I -4 2 d'
_symmetry_Int_Tables_number 122
_symmetry_space_group_name_Hall 'I -4 2bw'
_cell_length_a 8.406
_cell_length_b 8.406
_cell_length_c 6.230
_cell_angle_alpha 90.00
_cell_angle_beta 90.00
_cell_angle_gamma 90.00
loop_
_atom_site_label
_atom_site_type_symbol
_atom_site_fract_x
_atom_site_fract_y
_atom_site_fract_z
La1 La 0.218 0.250 0.125
V1 V 0.000 0.000 0.000
Hg1 Hg 0.000 0.000 0.500
```

no.,total DFT energy (no corrections) (eV per atom),polymorph energy (0 for the lowest one) (eV per atom)
1,-3.659,0.000
2,-4.636,0.000
3,-4.496,0.285